The following is a PBE calculation of an optimized crystal structure of Pm3Sm6Ho2Mg, from Alexandria.

abc: 6.2394 6.2394 11.8229
angles: 95.07 95.07 120.05
Atoms (fractional coordinates):
Pm 0.1665 0.8335 0.5000
Pm 0.8335 0.1665 0.5000
Pm 0.5000 0.5000 0.5000
Sm 0.9197 0.5876 0.7553
Sm 0.7484 0.7484 0.2461
Sm 0.0803 0.4124 0.2447
Sm 0.5876 0.9197 0.7553
Sm 0.2516 0.2516 0.7539
Sm 0.4124 0.0803 0.2447
Ho 0.3335 0.6665 0.0000
Ho 0.6665 0.3335 0.0000
Mg 0.0000 0.0000 0.0000

Values from the calculation:
- volume (A^3/atom) = 32.676
- total energy (eV/cell) = -52.979



The following is a PBE calculation of an optimized crystal structure of PmSmHo2Mg, from Alexandria.

abc: 4.9628 6.0831 11.1528
angles: 90.00 90.00 114.07
Atoms (fractional coordinates):
Pm 0.2465 0.4931 0.2550
Pm 0.7535 0.5069 0.7450
Sm 0.5473 0.0946 0.1508
Sm 0.4527 0.9054 0.8492
Ho 0.3522 0.7043 0.5481
Ho 0.6478 0.2957 0.4519
Ho 0.1541 0.3082 0.9481
Ho 0.8459 0.6918 0.0519
Mg 0.9469 0.8938 0.3595
Mg 0.0531 0.1062 0.6405

Values from the calculation:
- volume (A^3/atom) = 30.741
- total energy (eV/cell) = -40.164



The following is a PBE calculation of an optimized crystal structure of Pm2Sm2Ho2Mg, from Alexandria.

abc: 3.7073 6.3875 11.6080
angles: 118.07 90.00 106.87
Atoms (fractional coordinates):
Pm 0.5249 0.0499 0.7409
Pm 0.4751 0.9501 0.2591
Sm 0.6810 0.3620 0.0883
Sm 0.3190 0.6380 0.9117
Ho 0.7429 0.4857 0.6227
Ho 0.2571 0.5143 0.3773
Mg 0.0000 0.0000 0.5000

Values from the calculation:
- volume (A^3/atom) = 32.723
- total energy (eV/cell) = -29.124



The following is a PBE calculation of an optimized crystal structure of Pm6Sm2Ho3Mg, from Alexandria.

abc: 6.2182 6.2182 11.8216
angles: 95.04 95.04 120.04
Atoms (fractional coordinates):
Pm 0.9168 0.5855 0.7488
Pm 0.7516 0.7516 0.2523
Pm 0.0832 0.4145 0.2512
Pm 0.5855 0.9168 0.7488
Pm 0.2484 0.2484 0.7477
Pm 0.4145 0.0832 0.2512
Sm 0.3332 0.6668 0.0000
Sm 0.6668 0.3332 0.0000
Ho 0.1661 0.8339 0.5000
Ho 0.8339 0.1661 0.5000
Ho 0.5000 0.5000 0.5000
Mg 0.0000 0.0000 0.0000

Values from the calculation:
- volume (A^3/atom) = 32.461
- total energy (eV/cell) = -53.095



The following is a PBE calculation of an optimized crystal structure of Pm2Sm2HoMg, from Alexandria.

abc: 5.3923 10.2403 6.8972
angles: 90.00 90.00 90.00
Atoms (fractional coordinates):
Pm 0.5000 0.8390 0.2576
Pm 0.5000 0.1610 0.7424
Pm 0.0000 0.6610 0.7576
Pm 0.0000 0.3390 0.2424
Sm 0.5000 0.1593 0.2581
Sm 0.0000 0.6593 0.2419
Sm 0.5000 0.8407 0.7419
Sm 0.0000 0.3407 0.7581
Ho 0.0000 0.0000 0.0000
Ho 0.5000 0.5000 0.5000
Mg 0.5000 0.5000 0.0000
Mg 0.0000 0.0000 0.5000

Values from the calculation:
- volume (A^3/atom) = 31.738
- total energy (eV/cell) = -49.003



The following is a PBE calculation of an optimized crystal structure of PmSmHoMg, from Alexandria.

abc: 5.5687 5.5687 5.5687
angles: 60.00 60.00 60.00
Atoms (fractional coordinates):
Mg 0.5000 0.5000 0.5000
Ho 0.0000 0.0000 0.0000
Sm 0.7500 0.7500 0.7500
Pm 0.2500 0.2500 0.2500

Values from the calculation:
- volume (A^3/atom) = 30.527
- E above lowest polymorph (meV/atom) = 57
- total energy (eV/cell) = -15.537



The following is a PBE calculation of an optimized crystal structure of PmSmHoMg, from Alexandria.

abc: 3.6531 3.6531 9.1888
angles: 90.00 90.00 90.00
Atoms (fractional coordinates):
Pm 0.0000 0.0000 0.0755
Sm 0.5000 0.5000 0.8006
Ho 0.5000 0.5000 0.3425
Mg 0.0000 0.0000 0.5660

Values from the calculation:
- volume (A^3/atom) = 30.656
- E above lowest polymorph (meV/atom) = 0
- total energy (eV/cell) = -15.764



The following is a PBE calculation of an optimized crystal structure of Pm2SmHo4Mg, from Alexandria.

abc: 4.9654 4.9740 11.3051
angles: 63.88 90.00 90.00
Atoms (fractional coordinates):
Pm 0.0000 0.0000 0.0000
Pm 0.5000 0.0000 0.5000
Sm 0.5000 0.5000 0.0000
Ho 0.0000 0.7528 0.7474
Ho 0.0000 0.2472 0.2526
Ho 0.5000 0.7472 0.2526
Ho 0.5000 0.2528 0.7474
Mg 0.0000 0.5000 0.5000

Values from the calculation:
- volume (A^3/atom) = 31.338
- total energy (eV/cell) = -33.906



The following is a PBE calculation of an optimized crystal structure of PmSm2HoMg, from Alexandria.

abc: 7.2639 7.4746 5.9429
angles: 90.00 90.00 90.00
Atoms (fractional coordinates):
Pm 0.1601 0.5000 0.7500
Pm 0.8399 0.5000 0.2500
Sm 0.6891 0.7170 0.7500
Sm 0.6891 0.2830 0.7500
Sm 0.3109 0.7170 0.2500
Sm 0.3109 0.2830 0.2500
Ho 0.6278 0.0000 0.2500
Ho 0.3722 0.0000 0.7500
Mg 0.0000 0.0000 0.0000
Mg 0.0000 0.0000 0.5000

Values from the calculation:
- volume (A^3/atom) = 32.267
- total energy (eV/cell) = -39.034



The following is a PBE calculation of an optimized crystal structure of PmHoMgSn, from Alexandria.

abc: 5.3449 5.3449 5.3449
angles: 60.00 60.00 60.00
Atoms (fractional coordinates):
Mg 0.2500 0.2500 0.2500
Ho 0.5000 0.5000 0.5000
Sn 0.7500 0.7500 0.7500
Pm 0.0000 0.0000 0.0000

Values from the calculation:
- volume (A^3/atom) = 26.993
- total energy (eV/cell) = -16.559



Number 1: formation energy 28 meV per atom. Number 2: formation energy 28 meV per atom. Number 3: formation energy 81 meV per atom. Number 4: formation energy 15 meV per atom. Number 5: formation energy 102 meV per atom. Number 6: formation energy 26 meV per atom. Number 7: formation energy -31 meV per atom. Number 8: formation energy 28 meV per atom. Number 9: formation energy 169 meV per atom. Number 10: formation energy -408 meV per atom.